Rb2Mg2S3O12: relaxed, PBE-GGA.

The calculation puts the total magnetization at 0.000 μB/f.u. Its formation energy from raw total energies is -1945 meV/atom. The total energy comes out at -5.998 eV per atom. As for the crystal system: cubic. The density is 3.2 g/cm³. The value obtained for the density of states at the Fermi level is 0.0 states/eV/f.u.

The space group is P2_13 (No. 198) and the conventional cell measures 10.154, 10.154 and 10.154 Å, with angles of 90.00, 90.00 and 90.00 degrees. The distinct sites, in fractional coordinates, are Rb at (0.046, 0.046, 0.046), Rb at (0.183, 0.317, 0.683), Mg at (0.100, 0.900, 0.400), Mg at (0.164, 0.664, 0.836), S at (0.020, 0.214, 0.375), O at (0.000, 0.056, 0.733), O at (0.013, 0.074, 0.332), O at (0.042, 0.798, 0.227) and O at (0.101, 0.842, 0.754).

BaLi3Ca: relaxed, PBE-GGA.

The calculation puts the total magnetization at 0.000 μB/f.u. As for the formation energy from the elements: 36 kJ per mole of atoms. The total energy comes out at -1.562 eV per atom. As for the crystal system: cubic. The density is 1.6 g/cm³. The value obtained for the density of states at the Fermi level is 6.3 states/eV/f.u. Its relative energy among the computed polymorphs is 0.2662 eV/atom.

The space group is Pm-3m (No. 221) and the conventional cell measures 5.897, 5.897 and 5.897 Å, with angles of 90.00, 90.00 and 90.00 degrees. The distinct sites, in fractional coordinates, are Ba at (0.000, 0.000, 0.000), Li at (0.000, 0.500, 0.500) and Ca at (0.500, 0.500, 0.500).

AlIn3B: relaxed, PBE-GGA.

The calculation puts the total magnetization at 0.000 μB/f.u. As for the formation energy from the elements: 60 kJ per mole of atoms. The total energy comes out at -3.108 eV per atom. As for the crystal system: cubic. The density is 5.6 g/cm³. The value obtained for the density of states at the Fermi level is 2.9 states/eV/f.u. Its relative energy among the computed polymorphs is 0.0000 eV/atom.

The space group is Pm-3m (No. 221) and the conventional cell measures 4.841, 4.841 and 4.841 Å, with angles of 90.00, 90.00 and 90.00 degrees. The distinct sites, in fractional coordinates, are Al at (0.000, 0.000, 0.000), In at (0.000, 0.500, 0.500) and B at (0.500, 0.500, 0.500).

SrTe2Se: relaxed, PBE-GGA.

The calculation puts the total magnetization at 0.000 μB/f.u. Its formation energy from raw total energies is -910 meV/atom. The total energy comes out at -3.772 eV per atom. As for the crystal system: tetragonal. The density is 5.4 g/cm³. The value obtained for the density of states at the Fermi level is 1.4 states/eV/f.u.

The space group is P4/mmm (No. 123) and the conventional cell measures 4.479, 4.479 and 6.521 Å, with angles of 90.00, 90.00 and 90.00 degrees. The distinct sites, in fractional coordinates, are Sr at (0.000, 0.000, 0.000), Te at (0.000, 0.000, 0.500), Te at (0.500, 0.500, 0.500) and Se at (0.500, 0.500, 0.000).

UAl2Ru4: relaxed, PBE-GGA.

The calculation puts the total magnetization at 0.000 μB/f.u. As for the formation energy from the elements: -29 kJ per mole of atoms. The total energy comes out at -8.288 eV per atom. As for the crystal system: orthorhombic. The density is 10.2 g/cm³. The value obtained for the density of states at the Fermi level is 4.5 states/eV/f.u.

The space group is Cmmm (No. 65) and the conventional cell measures 6.023, 8.788 and 4.292 Å, with angles of 90.00, 90.00 and 90.00 degrees. The distinct sites, in fractional coordinates, are U at (0.000, 0.000, 0.000), Al at (0.000, 0.262, 0.500), Ru at (0.247, 0.500, 0.500) and Ru at (0.250, 0.250, 0.000).

LiLaAl2: relaxed, PBE-GGA.

The calculation puts the total magnetization at 0.000 μB/f.u. As for the formation energy from the elements: -22 kJ per mole of atoms. The total energy comes out at -3.813 eV per atom. As for the crystal system: orthorhombic. The density is 4.0 g/cm³. The value obtained for the density of states at the Fermi level is 2.2 states/eV/f.u. Its relative energy among the computed polymorphs is 0.0333 eV/atom.

The space group is Imm2 (No. 44) and the conventional cell measures 4.880, 4.924 and 6.944 Å, with angles of 90.00, 90.00 and 90.00 degrees. The distinct sites, in fractional coordinates, are Li at (0.000, 0.000, 0.000), La at (0.000, 0.500, 0.248), Al at (0.000, 0.000, 0.495) and Al at (0.000, 0.500, 0.749).

KRb2MnGa: relaxed, PBE-GGA.

The calculation puts the total magnetization at 4.675 μB/f.u. As for the formation energy from the elements: 76 kJ per mole of atoms. The total energy comes out at -2.255 eV per atom. As for the crystal system: tetragonal. The density is 2.1 g/cm³. The value obtained for the density of states at the Fermi level is 5.5 states/eV/f.u.

The space group is P4/mmm (No. 123) and the conventional cell measures 6.446, 6.446 and 6.310 Å, with angles of 90.00, 90.00 and 90.00 degrees. The distinct sites, in fractional coordinates, are K at (0.000, 0.000, 0.000), Rb at (0.000, 0.500, 0.500), Mn at (0.500, 0.500, 0.000) and Ga at (0.000, 0.000, 0.500).

YAgS2: relaxed, PBE-GGA.

The calculation puts the total magnetization at 0.000 μB/f.u. Its formation energy from raw total energies is -1305 meV/atom. The total energy comes out at -5.698 eV per atom. As for the crystal system: trigonal. The density is 4.5 g/cm³. The value obtained for the density of states at the Fermi level is 0.0 states/eV/f.u.

The space group is R3m (No. 160, hexagonal axes) and the conventional cell measures 3.9911, 3.9911 and 20.9172 Å, with angles of 90.00, 90.00 and 120.00 degrees. The distinct sites, in fractional coordinates, are Y at (0.0000, 0.0000, 0.0000), Ag at (0.0000, 0.0000, 0.1488), S at (0.0000, 0.0000, 0.2665) and S at (0.0000, 0.0000, 0.7453).

CaTiPt2Se: relaxed, PBE-GGA.

The calculation puts the total magnetization at 0.420 μB/f.u. Its formation energy from raw total energies is 251 meV/atom. The total energy comes out at -4.842 eV per atom. As for the crystal system: tetragonal. The density is 6.8 g/cm³. The value obtained for the density of states at the Fermi level is 4.9 states/eV/f.u.

The space group is P4/mmm (No. 123) and the conventional cell measures 4.579, 4.579 and 6.490 Å, with angles of 90.00, 90.00 and 90.00 degrees. The distinct sites, in fractional coordinates, are Ca at (0.000, 0.000, 0.000), Ti at (0.000, 0.000, 0.500), Pt at (0.000, 0.500, 0.500) and Se at (0.500, 0.500, 0.000).

ReNiP: relaxed, PBE-GGA.

The calculation puts the total magnetization at 0.000 μB/f.u. As for the formation energy from the elements: -21 kJ per mole of atoms. The total energy comes out at -8.096 eV per atom. As for the crystal system: cubic. The density is 11.3 g/cm³. The value obtained for the density of states at the Fermi level is 1.4 states/eV/f.u. Its relative energy among the computed polymorphs is 0.0000 eV/atom.

The space group is F-43m (No. 216) and the conventional cell measures 5.456, 5.456 and 5.456 Å, with angles of 90.00, 90.00 and 90.00 degrees. The distinct sites, in fractional coordinates, are Re at (0.000, 0.000, 0.000), Ni at (0.000, 0.000, 0.500) and P at (0.250, 0.250, 0.750).

LaCu2Tc: relaxed, PBE-GGA.

The calculation puts the total magnetization at 1.527 μB/f.u. As for the formation energy from the elements: 30 kJ per mole of atoms. The total energy comes out at -5.561 eV per atom. As for the crystal system: tetragonal. The density is 8.5 g/cm³. The value obtained for the density of states at the Fermi level is 4.1 states/eV/f.u. Its relative energy among the computed polymorphs is 0.2081 eV/atom.

The space group is I4/mmm (No. 139) and the conventional cell measures 4.130, 4.130 and 8.316 Å, with angles of 90.00, 90.00 and 90.00 degrees. The distinct sites, in fractional coordinates, are La at (0.000, 0.000, 0.000), Cu at (0.000, 0.500, 0.250) and Tc at (0.000, 0.000, 0.500).

La3PmSn2: relaxed, PBE-GGA.

The calculation puts the total magnetization at 0.758 μB/f.u. As for the formation energy from the elements: -58 kJ per mole of atoms. The total energy comes out at -5.191 eV per atom. As for the crystal system: orthorhombic. The density is 6.6 g/cm³. The value obtained for the density of states at the Fermi level is 8.6 states/eV/f.u. Its relative energy among the computed polymorphs is 0.0000 eV/atom.

The space group is Ibam (No. 72) and the conventional cell measures 6.706, 17.847 and 6.703 Å, with angles of 90.00, 90.00 and 90.00 degrees. The distinct sites, in fractional coordinates, are La at (0.000, 0.000, 0.250), La at (0.249, 0.177, 0.000), Pm at (0.000, 0.500, 0.250) and Sn at (0.245, 0.364, 0.000).